# 1
An optimized crystal structure of BaInPd2, computed with PBE.

Calculated values
The energy of formation from the pure elements is -0.62 eV per atom. For the density of states at the Fermi level, the calculation gives 2.0 states/eV per cell. As for the crystal system: orthorhombic.

Geometry as CIF:
```
data_BaInPd2
_chemical_formula_sum 'Ba2 In2 Pd4'
_cell_length_a 4.697
_cell_length_b 7.334
_cell_length_c 6.161
_cell_angle_alpha 90.00
_cell_angle_beta 90.00
_cell_angle_gamma 90.00
_symmetry_space_group_name_H-M 'P m m n'
_symmetry_Int_Tables_number 59
loop_
_symmetry_equiv_pos_as_xyz
'x,y,z'
'-x,-y,-z'
'-x+1/2,-y+1/2,z'
'x+1/2,y+1/2,-z'
'x+1/2,-y,-z'
'-x+1/2,y,z'
'-x,y+1/2,-z'
'x,-y+1/2,z'
loop_
_atom_site_label
_atom_site_type_symbol
_atom_site_fract_x
_atom_site_fract_y
_atom_site_fract_z
_atom_site_occupancy
Ba1 Ba 0.250 0.250 0.145 1
In1 In 0.250 0.750 0.359 1
Pd1 Pd 0.250 0.056 0.623 1
```

=====

# 2
An optimized crystal structure of BaIn4PdPt2, computed with PBE.

Calculated values
The energy of formation from the pure elements is -0.54 eV per atom. For the density of states at the Fermi level, the calculation gives 9.0 states/eV per cell. As for the crystal system: trigonal.

Geometry as CIF:
```
data_BaIn4PdPt2
_chemical_formula_sum 'Ba3 In12 Pd3 Pt6'
_cell_length_a 4.6223
_cell_length_b 4.6223
_cell_length_c 30.8623
_cell_angle_alpha 90.00
_cell_angle_beta 90.00
_cell_angle_gamma 120.00
_symmetry_space_group_name_H-M 'R -3 m'
_symmetry_Int_Tables_number 166
_symmetry_space_group_name_Hall '-R 3 2"'
loop_
_atom_site_label
_atom_site_type_symbol
_atom_site_fract_x
_atom_site_fract_y
_atom_site_fract_z
_atom_site_occupancy
Ba1 Ba 0.0000 0.0000 0.0000 1
In1 In 0.0000 0.0000 0.1344 1
In2 In 0.0000 0.0000 0.4071 1
Pd1 Pd 0.0000 0.0000 0.5000 1
Pt1 Pt 0.0000 0.0000 0.2283 1
```

=====

# 3
An optimized crystal structure of Ba2In4Pd3Pt, computed with PBE.

Calculated values
The energy of formation from the pure elements is -0.61 eV per atom. For the density of states at the Fermi level, the calculation gives 4.4 states/eV per cell. As for the crystal system: tetragonal.

Geometry as CIF:
```
data_Ba2In4Pd3Pt
_chemical_formula_sum 'Ba2 In4 Pd3 Pt1'
_cell_length_a 4.841
_cell_length_b 4.841
_cell_length_c 10.802
_cell_angle_alpha 90.00
_cell_angle_beta 90.00
_cell_angle_gamma 90.00
_symmetry_space_group_name_H-M 'P -4 m 2'
_symmetry_Int_Tables_number 115
_symmetry_space_group_name_Hall 'P -4 -2'
loop_
_atom_site_label
_atom_site_type_symbol
_atom_site_fract_x
_atom_site_fract_y
_atom_site_fract_z
_atom_site_occupancy
Ba1 Ba 0.000 0.500 0.236 1
In1 In 0.000 0.000 0.500 1
In2 In 0.000 0.500 0.881 1
In3 In 0.500 0.500 0.500 1
Pd1 Pd 0.000 0.000 0.000 1
Pd2 Pd 0.000 0.500 0.627 1
Pt1 Pt 0.500 0.500 0.000 1
```

=====

# 4
An optimized crystal structure of Ba2InPd5Pt2, computed with PBE.

Calculated values
The energy of formation from the pure elements is -0.40 eV per atom. For the density of states at the Fermi level, the calculation gives 9.0 states/eV per cell. As for the crystal system: tetragonal.

Geometry as CIF:
```
data_Ba2InPd5Pt2
_chemical_formula_sum 'Ba4 In2 Pd10 Pt4'
_cell_length_a 10.369
_cell_length_b 10.369
_cell_length_c 3.933
_cell_angle_alpha 90.00
_cell_angle_beta 90.00
_cell_angle_gamma 90.00
_symmetry_space_group_name_H-M 'P 4/m b m'
_symmetry_Int_Tables_number 127
_symmetry_space_group_name_Hall '-P 4 2ab'
loop_
_atom_site_label
_atom_site_type_symbol
_atom_site_fract_x
_atom_site_fract_y
_atom_site_fract_z
_atom_site_occupancy
Ba1 Ba 0.173 0.327 0.000 1
In1 In 0.000 0.000 0.000 1
Pd1 Pd 0.000 0.500 0.500 1
Pd2 Pd 0.060 0.807 0.500 1
Pt1 Pt 0.126 0.626 0.000 1
```

=====

# 5
An optimized crystal structure of Ba2In6PdPt, computed with PBE.

Calculated values
The energy of formation from the pure elements is -0.37 eV per atom. For the density of states at the Fermi level, the calculation gives 25.0 states/eV per cell. As for the crystal system: cubic.

Geometry as CIF:
```
data_Ba2In6PdPt
_chemical_formula_sum 'Ba8 In24 Pd4 Pt4'
_cell_length_a 10.583
_cell_length_b 10.583
_cell_length_c 10.583
_cell_angle_alpha 90.00
_cell_angle_beta 90.00
_cell_angle_gamma 90.00
_symmetry_space_group_name_H-M 'F m -3 m'
_symmetry_Int_Tables_number 225
_symmetry_space_group_name_Hall '-F 4 2 3'
loop_
_atom_site_label
_atom_site_type_symbol
_atom_site_fract_x
_atom_site_fract_y
_atom_site_fract_z
_atom_site_occupancy
Ba1 Ba 0.250 0.250 0.250 1
In1 In 0.000 0.000 0.249 1
Pd1 Pd 0.000 0.000 0.000 1
Pt1 Pt 0.000 0.000 0.500 1
```

=====

# 6
An optimized crystal structure of Ba2In3PdPt4, computed with PBE.

Calculated values
The energy of formation from the pure elements is -0.59 eV per atom. For the density of states at the Fermi level, the calculation gives 3.7 states/eV per cell. As for the crystal system: tetragonal.

Geometry as CIF:
```
data_Ba2In3PdPt4
_chemical_formula_sum 'Ba2 In3 Pd1 Pt4'
_cell_length_a 4.630
_cell_length_b 4.630
_cell_length_c 11.264
_cell_angle_alpha 90.00
_cell_angle_beta 90.00
_cell_angle_gamma 90.00
_symmetry_space_group_name_H-M 'P -4 m 2'
_symmetry_Int_Tables_number 115
_symmetry_space_group_name_Hall 'P -4 -2'
loop_
_atom_site_label
_atom_site_type_symbol
_atom_site_fract_x
_atom_site_fract_y
_atom_site_fract_z
_atom_site_occupancy
Ba1 Ba 0.000 0.500 0.245 1
In1 In 0.000 0.000 0.000 1
In2 In 0.000 0.500 0.623 1
Pd1 Pd 0.500 0.500 0.000 1
Pt1 Pt 0.000 0.000 0.500 1
Pt2 Pt 0.000 0.500 0.862 1
Pt3 Pt 0.500 0.500 0.500 1
```

=====

# 7
An optimized crystal structure of BaIn2Pd2Pt, computed with PBE.

Calculated values
The energy of formation from the pure elements is -0.39 eV per atom. For the density of states at the Fermi level, the calculation gives 1.2 states/eV per cell. As for the crystal system: tetragonal.

Geometry as CIF:
```
data_BaIn2Pd2Pt
_chemical_formula_sum 'Ba1 In2 Pd2 Pt1'
_cell_length_a 5.140
_cell_length_b 5.140
_cell_length_c 5.930
_cell_angle_alpha 90.00
_cell_angle_beta 90.00
_cell_angle_gamma 90.00
_symmetry_space_group_name_H-M 'P 4/m m m'
_symmetry_Int_Tables_number 123
_symmetry_space_group_name_Hall '-P 4 2'
loop_
_atom_site_label
_atom_site_type_symbol
_atom_site_fract_x
_atom_site_fract_y
_atom_site_fract_z
_atom_site_occupancy
Ba1 Ba 0.000 0.000 0.000 1
In1 In 0.000 0.500 0.500 1
Pd1 Pd 0.500 0.500 0.254 1
Pt1 Pt 0.000 0.000 0.500 1
```

=====

# 8
An optimized crystal structure of BaIn3PdPt, computed with PBE.

Calculated values
The energy of formation from the pure elements is -0.46 eV per atom. For the density of states at the Fermi level, the calculation gives 16.7 states/eV per cell. As for the crystal system: orthorhombic.

Geometry as CIF:
```
data_BaIn3PdPt
_chemical_formula_sum 'Ba4 In12 Pd4 Pt4'
_cell_length_a 7.459
_cell_length_b 12.219
_cell_length_c 7.450
_cell_angle_alpha 90.00
_cell_angle_beta 90.00
_cell_angle_gamma 90.00
_symmetry_space_group_name_H-M 'C m c m'
_symmetry_Int_Tables_number 63
_symmetry_space_group_name_Hall '-C 2c 2'
loop_
_atom_site_label
_atom_site_type_symbol
_atom_site_fract_x
_atom_site_fract_y
_atom_site_fract_z
_atom_site_occupancy
Ba1 Ba 0.000 0.241 0.250 1
In1 In 0.000 0.267 0.750 1
In2 In 0.243 0.000 0.000 1
Pd1 Pd 0.000 0.477 0.750 1
Pt1 Pt 0.000 0.057 0.750 1
```

=====

# 9
An optimized crystal structure of Ba8InPd2Pt, computed with PBE.

Calculated values
The energy of formation from the pure elements is -0.40 eV per atom. For the density of states at the Fermi level, the calculation gives 7.8 states/eV per cell. As for the crystal system: monoclinic.

Geometry as CIF:
```
data_Ba8InPd2Pt
_chemical_formula_sum 'Ba8 In1 Pd2 Pt1'
_cell_length_a 7.626
_cell_length_b 9.878
_cell_length_c 7.766
_cell_angle_alpha 90.00
_cell_angle_beta 91.01
_cell_angle_gamma 90.00
_symmetry_space_group_name_H-M 'P 1 2/m 1'
_symmetry_Int_Tables_number 10
_symmetry_space_group_name_Hall '-P 2y'
loop_
_atom_site_label
_atom_site_type_symbol
_atom_site_fract_x
_atom_site_fract_y
_atom_site_fract_z
_atom_site_occupancy
Ba1 Ba 0.212 0.000 0.342 1
Ba2 Ba 0.228 0.500 0.322 1
Ba3 Ba 0.270 0.274 0.824 1
In1 In 0.500 0.000 0.000 1
Pd1 Pd 0.000 0.255 0.500 1
Pt1 Pt 0.500 0.500 0.000 1
```

=====

# 10
An optimized crystal structure of RbBa2InPd, computed with PBE.

Calculated values
The energy of formation from the pure elements is -0.24 eV per atom. For the density of states at the Fermi level, the calculation gives 3.9 states/eV per cell. As for the crystal system: tetragonal.

Geometry as CIF:
```
data_RbBa2InPd
_chemical_formula_sum 'Rb1 Ba2 In1 Pd1'
_cell_length_a 6.316
_cell_length_b 6.316
_cell_length_c 5.437
_cell_angle_alpha 90.00
_cell_angle_beta 90.00
_cell_angle_gamma 90.00
_symmetry_space_group_name_H-M 'P 4/m m m'
_symmetry_Int_Tables_number 123
_symmetry_space_group_name_Hall '-P 4 2'
loop_
_atom_site_label
_atom_site_type_symbol
_atom_site_fract_x
_atom_site_fract_y
_atom_site_fract_z
_atom_site_occupancy
Rb1 Rb 0.000 0.000 0.000 1
Ba1 Ba 0.000 0.500 0.500 1
In1 In 0.500 0.500 0.000 1
Pd1 Pd 0.500 0.500 0.500 1
```